Record 1
## RbNpSb2Au2 (GGA-PBE)

Data for crystalline RbNpSb2Au2 at its relaxed geometry.

ΔE_f (raw) in eV/atom: -0.373
Calculated total energy in eV per atom: -5.157

Lattice parameters (Å, degrees): 4.7097 4.7097 9.4444 90.00 90.00 120.00
Space group P-3m1 (No. 164)
Symmetry-distinct sites (fractional):
Rb (0.0000, 0.0000, 0.0000)
Np (0.0000, 0.0000, 0.5000)
Sb (0.3333, 0.6667, 0.7166)
Au (0.3333, 0.6667, 0.3242)

---

Record 2
## CeAl3ZnPd (GGA-PBE)

Data for crystalline CeAl3ZnPd at its relaxed geometry.

Energy relative to the elements in eV per atom: -0.3401
Calculated total energy in eV per atom: -4.278

Lattice parameters (Å, degrees): 5.845 13.773 5.732 90.00 90.00 90.00
Space group Cmcm (No. 63)
Symmetry-distinct sites (fractional):
Ce (0.000, 0.199, 0.250)
Al (0.000, 0.371, 0.750)
Al (0.221, 0.000, 0.000)
Zn (0.000, 0.147, 0.750)
Pd (0.000, 0.401, 0.250)

---

Record 3
## Ac2TiAg2O6 (GGA-PBE)

Data for crystalline Ac2TiAg2O6 at its relaxed geometry.

ΔE_f (raw) in eV/atom: -2.280
Calculated total energy in eV per atom: -6.968

Lattice parameters (Å, degrees): 6.192 11.081 6.362 90.00 98.96 90.00
Space group C2/m (No. 12)
Symmetry-distinct sites (fractional):
Ac (0.000, 0.163, 0.000)
Ti (0.000, 0.500, 0.000)
Ag (0.000, 0.363, 0.500)
O (0.104, 0.359, 0.827)
O (0.198, 0.000, 0.854)

---

Look up the calculated total energy of the third one. -6.968 eV per atom

---

Among the records above, which one has the highest calculated total energy? CeAl3ZnPd